1.
The following is a PBE-GGA calculation of a relaxed MgSb2Ir crystal, from the Alexandria database.

Geometry as CIF:
```
data_MgSb2Ir
_symmetry_space_group_name_H-M 'C 1 m 1'
_symmetry_Int_Tables_number 8
_symmetry_space_group_name_Hall 'C -2y'
_cell_length_a 9.543
_cell_length_b 3.459
_cell_length_c 6.266
_cell_angle_alpha 90.00
_cell_angle_beta 109.11
_cell_angle_gamma 90.00
loop_
_atom_site_label
_atom_site_type_symbol
_atom_site_fract_x
_atom_site_fract_y
_atom_site_fract_z
Mg1 Mg 0.000 0.000 0.000
Sb1 Sb 0.147 0.000 0.626
Sb2 Sb 0.337 0.000 0.306
Ir1 Ir 0.215 0.500 0.967
```

Formation energy without anion corrections ... -0.15 eV/atom
Crystal system ... monoclinic
DFT total energy ... -38.6 eV per cell
Total magnetization ... 0.000 μB/atom

***

2.
The following is a PBE-GGA calculation of a relaxed Mg2SbIr crystal, from the Alexandria database.

Geometry as CIF:
```
data_Mg2SbIr
_symmetry_space_group_name_H-M 'P 1 m 1'
_symmetry_Int_Tables_number 6
_symmetry_space_group_name_Hall 'P -2y'
_cell_length_a 3.307
_cell_length_b 4.389
_cell_length_c 5.599
_cell_angle_alpha 90.00
_cell_angle_beta 106.70
_cell_angle_gamma 90.00
loop_
_atom_site_label
_atom_site_type_symbol
_atom_site_fract_x
_atom_site_fract_y
_atom_site_fract_z
Mg1 Mg 0.000 0.000 0.000
Mg2 Mg 0.327 0.500 0.666
Sb1 Sb 0.604 0.500 0.211
Ir1 Ir 0.743 0.000 0.492
```

Formation energy without anion corrections ... -0.21 eV/atom
Crystal system ... monoclinic
DFT total energy ... -17.0 eV per cell
Total magnetization ... 0.000 μB/atom

***

3.
The following is a PBE-GGA calculation of a relaxed Mg2SbIr crystal, from the Alexandria database.

Geometry as CIF:
```
data_Mg2SbIr
_symmetry_space_group_name_H-M 'P 4 m m'
_symmetry_Int_Tables_number 99
_symmetry_space_group_name_Hall 'P 4 -2'
_cell_length_a 3.616
_cell_length_b 3.616
_cell_length_c 5.888
_cell_angle_alpha 90.00
_cell_angle_beta 90.00
_cell_angle_gamma 90.00
loop_
_atom_site_label
_atom_site_type_symbol
_atom_site_fract_x
_atom_site_fract_y
_atom_site_fract_z
Mg1 Mg 0.000 0.000 0.000
Mg2 Mg 0.500 0.500 0.260
Sb1 Sb 0.000 0.000 0.541
Ir1 Ir 0.500 0.500 0.761
```

Formation energy without anion corrections ... -0.07 eV/atom
Crystal system ... tetragonal
DFT total energy ... -16.5 eV per cell
Total magnetization ... 0.000 μB/atom

***

4.
The following is a PBE-GGA calculation of a relaxed MgSb2Ir crystal, from the Alexandria database.

Geometry as CIF:
```
data_MgSb2Ir
_symmetry_space_group_name_H-M 'I m m m'
_symmetry_Int_Tables_number 71
_symmetry_space_group_name_Hall '-I 2 2'
_cell_length_a 3.210
_cell_length_b 4.579
_cell_length_c 12.562
_cell_angle_alpha 90.00
_cell_angle_beta 90.00
_cell_angle_gamma 90.00
loop_
_atom_site_label
_atom_site_type_symbol
_atom_site_fract_x
_atom_site_fract_y
_atom_site_fract_z
Mg1 Mg 0.000 0.000 0.000
Sb1 Sb 0.000 0.500 0.175
Ir1 Ir 0.000 0.000 0.500
```

Formation energy without anion corrections ... -0.18 eV/atom
Crystal system ... orthorhombic
DFT total energy ... -38.8 eV per cell
Total magnetization ... 0.000 μB/atom

***

5.
The following is a PBE-GGA calculation of a relaxed MgSb3Ir crystal, from the Alexandria database.

Geometry as CIF:
```
data_MgSb3Ir
_symmetry_space_group_name_H-M 'P m -3 m'
_symmetry_Int_Tables_number 221
_symmetry_space_group_name_Hall '-P 4 2 3'
_cell_length_a 5.255
_cell_length_b 5.255
_cell_length_c 5.255
_cell_angle_alpha 90.00
_cell_angle_beta 90.00
_cell_angle_gamma 90.00
loop_
_atom_site_label
_atom_site_type_symbol
_atom_site_fract_x
_atom_site_fract_y
_atom_site_fract_z
Mg1 Mg 0.000 0.000 0.000
Sb1 Sb 0.000 0.500 0.500
Ir1 Ir 0.500 0.500 0.500
```

Formation energy without anion corrections ... 0.42 eV/atom
Crystal system ... cubic
Polymorph energy (0 for the lowest one) ... 0 meV per atom
DFT total energy ... -20.7 eV per cell
Total magnetization ... 0.000 μB/atom

***

6.
The following is a PBE-GGA calculation of a relaxed MgSb2Ir crystal, from the Alexandria database.

Geometry as CIF:
```
data_MgSb2Ir
_symmetry_space_group_name_H-M 'I -4 2 d'
_symmetry_Int_Tables_number 122
_symmetry_space_group_name_Hall 'I -4 2bw'
_cell_length_a 6.351
_cell_length_b 6.351
_cell_length_c 12.080
_cell_angle_alpha 90.00
_cell_angle_beta 90.00
_cell_angle_gamma 90.00
loop_
_atom_site_label
_atom_site_type_symbol
_atom_site_fract_x
_atom_site_fract_y
_atom_site_fract_z
Mg1 Mg 0.000 0.000 0.000
Sb1 Sb 0.205 0.250 0.625
Ir1 Ir 0.000 0.000 0.500
```

Formation energy without anion corrections ... 0.12 eV/atom
Crystal system ... tetragonal
DFT total energy ... -72.9 eV per cell
Total magnetization ... 0.000 μB/atom

***

7.
The following is a PBE-GGA calculation of a relaxed MgSb2Ir crystal, from the Alexandria database.

Geometry as CIF:
```
data_MgSb2Ir
_symmetry_space_group_name_H-M 'P 4/m m m'
_symmetry_Int_Tables_number 123
_symmetry_space_group_name_Hall '-P 4 2'
_cell_length_a 4.538
_cell_length_b 4.538
_cell_length_c 3.979
_cell_angle_alpha 90.00
_cell_angle_beta 90.00
_cell_angle_gamma 90.00
loop_
_atom_site_label
_atom_site_type_symbol
_atom_site_fract_x
_atom_site_fract_y
_atom_site_fract_z
Mg1 Mg 0.000 0.000 0.000
Sb1 Sb 0.000 0.500 0.500
Ir1 Ir 0.500 0.500 0.000
```

Formation energy without anion corrections ... 0.09 eV/atom
Crystal system ... tetragonal
DFT total energy ... -18.4 eV per cell
Total magnetization ... 0.000 μB/atom

***

8.
The following is a PBE-GGA calculation of a relaxed MgSb2Ir crystal, from the Alexandria database.

Geometry as CIF:
```
data_MgSb2Ir
_symmetry_space_group_name_H-M 'I m m 2'
_symmetry_Int_Tables_number 44
_symmetry_space_group_name_Hall 'I 2 -2'
_cell_length_a 3.264
_cell_length_b 4.276
_cell_length_c 12.829
_cell_angle_alpha 90.00
_cell_angle_beta 90.00
_cell_angle_gamma 90.00
loop_
_atom_site_label
_atom_site_type_symbol
_atom_site_fract_x
_atom_site_fract_y
_atom_site_fract_z
Mg1 Mg 0.000 0.000 0.000
Sb1 Sb 0.000 0.000 0.619
Sb2 Sb 0.000 0.500 0.839
Ir1 Ir 0.000 0.500 0.289
```

Formation energy without anion corrections ... -0.05 eV/atom
Crystal system ... orthorhombic
DFT total energy ... -37.8 eV per cell
Total magnetization ... 0.000 μB/atom